P.
DFT (PBE-GGA) results for MgBRh3 after structural relaxation.

**Density of states at the Fermi level**: 4.6 states/eV/cell

a b c (Å): 2.8022 7.0062 7.0062
angles (deg): 134.34 90.00 90.00
Sites, in units of the cell vectors:
Mg 0.5000 0.0918 0.9082
B 0.0000 0.4476 0.5524
Rh 0.5000 0.1479 0.3290
Rh 0.5000 0.6710 0.8521
Rh 0.0000 0.2697 0.7303

---

Q.
DFT (PBE-GGA) results for MgBRh3 after structural relaxation.

**Density of states at the Fermi level**: 6.3 states/eV/cell

a b c (Å): 5.8243 5.0026 5.6365
angles (deg): 55.71 90.00 90.00
Sites, in units of the cell vectors:
Mg 0.4603 0.9302 0.1253
Mg 0.9603 0.9302 0.1250
B 0.4604 0.5164 0.8319
B 0.9604 0.5163 0.8320
Rh 0.2104 0.4561 0.1193
Rh 0.2103 0.4559 0.6050
Rh 0.7104 0.4561 0.1193
Rh 0.4603 0.9980 0.5912
Rh 0.9603 0.9980 0.5911
Rh 0.7104 0.4559 0.6050

---

R.
DFT (PBE-GGA) results for MgBRh3 after structural relaxation.

**Density of states at the Fermi level**: 12.4 states/eV/cell

a b c (Å): 11.1716 7.2519 7.2519
angles (deg): 101.85 132.76 47.24
Sites, in units of the cell vectors:
Mg 0.7500 0.2314 0.7314
Mg 0.2500 0.7686 0.2686
Mg 0.7500 0.5437 0.0437
Mg 0.2500 0.4563 0.9563
B 0.1361 0.4045 0.3353
B 0.3639 0.8353 0.9045
B 0.8639 0.5955 0.6647
B 0.6361 0.1647 0.0955
Rh 0.4236 0.2444 0.4387
Rh 0.0764 0.9387 0.7444
Rh 0.5764 0.7556 0.5613
Rh 0.9236 0.0613 0.2556
Rh 0.1009 0.2390 0.0390
Rh 0.3991 0.5390 0.7390
Rh 0.8991 0.7610 0.9610
Rh 0.6009 0.4610 0.2610
Rh 0.4413 0.1070 0.7795
Rh 0.0587 0.2795 0.6070
Rh 0.5587 0.8930 0.2205
Rh 0.9413 0.7205 0.3930

---

Short version: Q is the most stable of them.

---

P.
DFT (PBE-GGA) results for MgBRh3 after structural relaxation.

**Density of states at the Fermi level**: 8.3 states/eV/cell

a b c (Å): 7.2003 7.2003 5.0194
angles (deg): 90.00 90.00 138.33
Sites, in units of the cell vectors:
Mg 0.4085 0.5915 0.2500
Mg 0.5915 0.4085 0.7500
B 0.1221 0.8779 0.2500
B 0.8779 0.1221 0.7500
Rh 0.4888 0.0333 0.2500
Rh 0.9667 0.5112 0.2500
Rh 0.0333 0.4888 0.7500
Rh 0.5112 0.9667 0.7500
Rh 0.0000 0.0000 0.0000
Rh 0.0000 0.0000 0.5000

---

Q.
DFT (PBE-GGA) results for MgBRh3 after structural relaxation.

**Density of states at the Fermi level**: 9.5 states/eV/cell

a b c (Å): 3.4519 3.4519 15.1155
angles (deg): 90.00 90.00 120.00
Sites, in units of the cell vectors:
Mg 0.0000 0.0000 0.0000
Mg 0.0000 0.0000 0.5000
B 0.3333 0.6667 0.7500
B 0.6667 0.3333 0.2500
Rh 0.0000 0.0000 0.2500
Rh 0.0000 0.0000 0.7500
Rh 0.3333 0.6667 0.8835
Rh 0.3333 0.6667 0.6165
Rh 0.6667 0.3333 0.3835
Rh 0.6667 0.3333 0.1165

---

Short version: Q is the most stable of them.

---

P.
DFT (PBE-GGA) results for MgBRh3 after structural relaxation.

**Density of states at the Fermi level**: 20.4 states/eV/cell

a b c (Å): 5.1135 7.1025 8.0180
angles (deg): 90.00 90.00 90.00
Sites, in units of the cell vectors:
Mg 0.0000 0.0000 0.5000
Mg 0.5000 0.5000 0.0000
Mg 0.5000 0.0000 0.0000
Mg 0.0000 0.5000 0.5000
B 0.5406 0.2500 0.5403
B 0.9594 0.7500 0.0403
B 0.4594 0.7500 0.4597
B 0.0406 0.2500 0.9597
Rh 0.0072 0.9332 0.8406
Rh 0.4928 0.4332 0.3406
Rh 0.4928 0.0668 0.3406
Rh 0.9928 0.4332 0.1594
Rh 0.9928 0.0668 0.1594
Rh 0.5072 0.5668 0.6594
Rh 0.5072 0.9332 0.6594
Rh 0.0072 0.5668 0.8406
Rh 0.2414 0.2500 0.7286
Rh 0.2586 0.7500 0.2286
Rh 0.7586 0.7500 0.2714
Rh 0.7414 0.2500 0.7714

---

Q.
DFT (PBE-GGA) results for MgBRh3 after structural relaxation.

**Density of states at the Fermi level**: 7.6 states/eV/cell

a b c (Å): 15.7257 5.0384 5.0384
angles (deg): 147.30 139.54 40.46
Sites, in units of the cell vectors:
Mg 0.6445 0.8819 0.1181
Mg 0.3555 0.1181 0.8819
B 0.8001 0.0180 0.9820
B 0.1999 0.9820 0.0180
Rh 0.1780 0.6760 0.3240
Rh 0.8220 0.3240 0.6760
Rh 0.9291 0.4579 0.5421
Rh 0.0709 0.5421 0.4579
Rh 0.4099 0.7755 0.2245
Rh 0.5901 0.2245 0.7755

---

R.
DFT (PBE-GGA) results for MgBRh3 after structural relaxation.

**Density of states at the Fermi level**: 8.5 states/eV/cell

a b c (Å): 5.1632 5.5317 4.8247
angles (deg): 90.00 92.78 90.00
Sites, in units of the cell vectors:
Mg 0.3222 0.2500 0.3700
Mg 0.6778 0.7500 0.6300
B 0.5298 0.2500 0.8650
B 0.4702 0.7500 0.1350
Rh 0.7614 0.4951 0.1209
Rh 0.2386 0.5049 0.8791
Rh 0.7614 0.0049 0.1209
Rh 0.2386 0.9951 0.8791
Rh 0.8331 0.2500 0.6122
Rh 0.1669 0.7500 0.3878

---

Short version: R is the most stable of them.

---

P.
DFT (PBE-GGA) results for MgBRh3 after structural relaxation.

**Density of states at the Fermi level**: 14.1 states/eV/cell

a b c (Å): 4.1673 5.4581 6.2663
angles (deg): 90.00 90.01 90.00
Sites, in units of the cell vectors:
Mg 0.7499 0.2500 0.7316
Mg 0.2501 0.7500 0.2684
B 0.7496 0.2500 0.3531
B 0.2504 0.7500 0.6469
Rh 0.2500 0.5024 0.8752
Rh 0.7500 0.4976 0.1248
Rh 0.2500 0.9976 0.8752
Rh 0.7500 0.0024 0.1248
Rh 0.2498 0.2500 0.4415
Rh 0.7502 0.7500 0.5585

---

Q.
DFT (PBE-GGA) results for MgBRh3 after structural relaxation.

**Density of states at the Fermi level**: 10.3 states/eV/cell

a b c (Å): 4.2265 4.2265 8.4245
angles (deg): 90.00 90.00 120.00
Sites, in units of the cell vectors:
Mg 0.3333 0.6667 0.7500
Mg 0.6667 0.3333 0.2500
B 0.0000 0.0000 0.0000
B 0.0000 0.0000 0.5000
Rh 0.0000 0.0000 0.2500
Rh 0.0000 0.0000 0.7500
Rh 0.3333 0.6667 0.0802
Rh 0.3333 0.6667 0.4198
Rh 0.6667 0.3333 0.5802
Rh 0.6667 0.3333 0.9198

---

Short version: Q is the most stable of them.

---

P.
DFT (PBE-GGA) results for MgBRh3 after structural relaxation.

**Density of states at the Fermi level**: 8.8 states/eV/cell

a b c (Å): 19.8967 4.7890 7.7223
angles (deg): 90.00 158.02 90.00
Sites, in units of the cell vectors:
Mg 0.0456 0.2423 0.5084
Mg 0.9544 0.7577 0.4916
Mg 0.4544 0.7423 0.9916
Mg 0.5456 0.2577 0.0084
B 0.5481 0.7376 0.7637
B 0.4519 0.2624 0.2363
B 0.9519 0.2376 0.7363
B 0.0481 0.7624 0.2637
Rh 0.3060 0.9010 0.9616
Rh 0.6940 0.0990 0.0384
Rh 0.1940 0.4010 0.5384
Rh 0.8060 0.5990 0.4616
Rh 0.3740 0.3996 0.3108
Rh 0.6260 0.6004 0.6892
Rh 0.1260 0.8996 0.1892
Rh 0.8740 0.1004 0.8108
Rh 0.3120 0.8874 0.3270
Rh 0.6880 0.1126 0.6730
Rh 0.1880 0.3874 0.1730
Rh 0.8120 0.6126 0.8270

---

Q.
DFT (PBE-GGA) results for MgBRh3 after structural relaxation.

**Density of states at the Fermi level**: 9.3 states/eV/cell

a b c (Å): 6.9682 6.9682 4.8879
angles (deg): 90.00 90.00 125.87
Sites, in units of the cell vectors:
Mg 0.1859 0.8141 0.2500
Mg 0.8141 0.1859 0.7500
B 0.3842 0.6158 0.2500
B 0.6158 0.3842 0.7500
Rh 0.6227 0.9422 0.2500
Rh 0.0578 0.3773 0.2500
Rh 0.9422 0.6227 0.7500
Rh 0.3773 0.0578 0.7500
Rh 0.0000 0.0000 0.0000
Rh 0.0000 0.0000 0.5000

---

Short version: P is the most stable of them.